Material: BaSrAuI
Method: DFT, GGA-PBE
State: relaxed

The raw formation energy comes out at -1.051 eV/atom. The calculation puts the final energy at -37.9 eV for the cell shown.

The structure belongs to space group R3m (No. 160, hexagonal axes); the cell edges are 4.6585, 4.6585 and 25.9934 Å and the angles 90.00°, 90.00° and 120.00°. The inequivalent atoms are Ba at (0.0000, 0.0000, 0.0000), Sr at (0.0000, 0.0000, 0.8021), Au at (0.0000, 0.0000, 0.4040) and I at (0.0000, 0.0000, 0.5670).

=====

Material: Ba2SrAuI
Method: DFT, GGA-PBE
State: relaxed

The raw formation energy comes out at -0.128 eV/atom. The calculation puts the final energy at -11.0 eV for the cell shown.

The structure belongs to space group P4/mmm (No. 123); the cell edges are 6.525, 6.525 and 6.118 Å and the angles 90.00°, 90.00° and 90.00°. The inequivalent atoms are Ba at (0.000, 0.500, 0.000), Sr at (0.000, 0.000, 0.500), Au at (0.500, 0.500, 0.500) and I at (0.000, 0.000, 0.000).

=====

Material: Ba6Te2AuI3
Method: DFT, GGA-PBE
State: relaxed

The raw formation energy comes out at -1.382 eV/atom. The calculation puts the final energy at -84.7 eV for the cell shown.

The structure belongs to space group C2/m (No. 12); the cell edges are 8.679, 14.992 and 8.717 Å and the angles 90.00°, 109.26° and 90.00°. The inequivalent atoms are Ba at (0.232, 0.159, 0.220), Ba at (0.242, 0.000, 0.775), Te at (0.000, 0.335, 0.000), Au at (0.000, 0.000, 0.000), I at (0.000, 0.176, 0.500) and I at (0.000, 0.500, 0.500).

=====

Material: BaTeAuI2
Method: DFT, GGA-PBE
State: relaxed

The value obtained for the energy above the most stable polymorph in this dataset is 723 meV per atom. The raw formation energy comes out at -0.006 eV/atom. The calculation puts the final energy at -11.5 eV for the cell shown.

The structure belongs to space group P4/mmm (No. 123); the cell edges are 6.660, 6.660 and 7.093 Å and the angles 90.00°, 90.00° and 90.00°. The inequivalent atoms are Ba at (0.000, 0.000, 0.000), Te at (0.000, 0.000, 0.500), Au at (0.500, 0.500, 0.500) and I at (0.000, 0.500, 0.000).

=====

Material: BaTeAuI2
Method: DFT, GGA-PBE
State: relaxed

The value obtained for the energy above the most stable polymorph in this dataset is 0 meV per atom. The raw formation energy comes out at -0.729 eV/atom. The calculation puts the final energy at -15.1 eV for the cell shown.

The structure belongs to space group P4/mmm (No. 123); the cell edges are 5.667, 5.667 and 5.765 Å and the angles 90.00°, 90.00° and 90.00°. The inequivalent atoms are Ba at (0.000, 0.000, 0.000), Te at (0.500, 0.500, 0.000), Au at (0.500, 0.500, 0.500) and I at (0.000, 0.500, 0.500).

=====

Material: BaTlAu2I8
Method: DFT, GGA-PBE
State: relaxed

The raw formation energy comes out at -0.488 eV/atom. The calculation puts the final energy at -58.2 eV for the cell shown.

The structure belongs to space group I-4 (No. 82); the cell edges are 8.560, 8.560 and 14.109 Å and the angles 90.00°, 90.00° and 90.00°. The inequivalent atoms are Ba at (0.000, 0.000, 0.000), Tl at (0.000, 0.500, 0.750), Au at (0.000, 0.000, 0.500), Au at (0.000, 0.500, 0.250), I at (0.047, 0.813, 0.225) and I at (0.065, 0.311, 0.522).

=====

Material: Ba6Tl2AuI3
Method: DFT, GGA-PBE
State: relaxed

The raw formation energy comes out at -0.910 eV/atom. The calculation puts the final energy at -70.2 eV for the cell shown.

The structure belongs to space group C2/m (No. 12); the cell edges are 8.503, 14.022 and 9.484 Å and the angles 90.00°, 106.09° and 90.00°. The inequivalent atoms are Ba at (0.228, 0.165, 0.212), Ba at (0.231, 0.000, 0.748), Tl at (0.000, 0.364, 0.000), Au at (0.000, 0.000, 0.000), I at (0.000, 0.179, 0.500) and I at (0.000, 0.500, 0.500).

=====

Material: Ba8Tl3AuI4
Method: DFT, GGA-PBE
State: relaxed

The raw formation energy comes out at -0.896 eV/atom. The calculation puts the final energy at -138.9 eV for the cell shown.

The structure belongs to space group R-3m (No. 166, hexagonal axes); the cell edges are 9.6259, 9.6259 and 27.5268 Å and the angles 90.00°, 90.00° and 120.00°. The inequivalent atoms are Ba at (0.0000, 0.0000, 0.2467), Ba at (0.0079, 0.5039, 0.2416), Tl at (0.0000, 0.5000, 0.5000), Au at (0.0000, 0.0000, 0.5000), I at (0.0000, 0.0000, 0.0000) and I at (0.0000, 0.5000, 0.0000).

=====

Material: Ba2ZnAuI
Method: DFT, GGA-PBE
State: relaxed

The raw formation energy comes out at -0.710 eV/atom. The calculation puts the final energy at -13.5 eV for the cell shown.

The structure belongs to space group P4/mmm (No. 123); the cell edges are 6.425, 6.425 and 4.917 Å and the angles 90.00°, 90.00° and 90.00°. The inequivalent atoms are Ba at (0.000, 0.500, 0.000), Zn at (0.000, 0.000, 0.500), Au at (0.000, 0.000, 0.000) and I at (0.500, 0.500, 0.500).

=====

Material: Ba6In2Au
Method: DFT, GGA-PBE
State: relaxed

The value obtained for the formation energy is -0.329 eV per atom. The value obtained for the energy above the most stable polymorph in this dataset is 0 meV per atom. The calculation puts the final energy at -46.5 eV for the cell shown.

The structure belongs to space group P2_1/c (No. 14); the cell edges are 8.062, 9.272 and 14.210 Å and the angles 90.00°, 123.49° and 90.00°. The inequivalent atoms are Ba at (0.105, 0.181, 0.437), Ba at (0.273, 0.676, 0.435), Ba at (0.383, 0.033, 0.258), In at (0.202, 0.111, 0.746) and Au at (0.000, 0.000, 0.000).

=====

Material: Ba3InAu3
Method: DFT, GGA-PBE
State: relaxed

The value obtained for the formation energy is -0.564 eV per atom. The value obtained for the energy above the most stable polymorph in this dataset is 84 meV per atom. The calculation puts the final energy at -44.6 eV for the cell shown.

The structure belongs to space group P6_3/m (No. 176); the cell edges are 9.8449, 9.8449 and 6.6571 Å and the angles 90.00°, 90.00° and 120.00°. The inequivalent atoms are Ba at (0.0603, 0.6990, 0.2500), In at (0.3333, 0.6667, 0.7500) and Au at (0.0596, 0.6875, 0.7500).

=====

Material: Ba4InAu
Method: DFT, GGA-PBE
State: relaxed

The value obtained for the formation energy is -0.359 eV per atom. The value obtained for the energy above the most stable polymorph in this dataset is 5 meV per atom. The calculation puts the final energy at -63.5 eV for the cell shown.

The structure belongs to space group Pnma (No. 62); the cell edges are 10.311, 4.662 and 22.127 Å and the angles 90.00°, 90.00° and 90.00°. The inequivalent atoms are Ba at (0.011, 0.250, 0.074), Ba at (0.032, 0.250, 0.771), Ba at (0.146, 0.250, 0.359), Ba at (0.154, 0.250, 0.558), In at (0.239, 0.750, 0.691) and Au at (0.226, 0.250, 0.953).

=====

Material: Ba2In5Au3
Method: DFT, GGA-PBE
State: relaxed

The value obtained for the formation energy is -0.475 eV per atom. The calculation puts the final energy at -128.5 eV for the cell shown.

The structure belongs to space group Cmc2_1 (No. 36); the cell edges are 4.952, 28.059 and 7.762 Å and the angles 90.00°, 90.00° and 90.00°. The inequivalent atoms are Ba at (0.000, 0.019, 0.000), Ba at (0.000, 0.324, 0.959), In at (0.000, 0.101, 0.652), In at (0.000, 0.205, 0.149), In at (0.000, 0.208, 0.754), In at (0.000, 0.375, 0.482), In at (0.000, 0.446, 0.820), Au at (0.000, 0.109, 0.269), Au at (0.000, 0.273, 0.449) and Au at (0.000, 0.449, 0.203).

=====

Material: BaIn2Au2
Method: DFT, GGA-PBE
State: relaxed

The value obtained for the formation energy is -0.298 eV per atom. The calculation puts the final energy at -30.9 eV for the cell shown.

The structure belongs to space group P4/mbm (No. 127); the cell edges are 8.297, 8.297 and 3.993 Å and the angles 90.00°, 90.00° and 90.00°. The inequivalent atoms are Ba at (0.000, 0.000, 0.000), In at (0.153, 0.347, 0.500) and Au at (0.128, 0.628, 0.000).

=====

Material: Ba2InAu2
Method: DFT, GGA-PBE
State: relaxed

The value obtained for the formation energy is -0.633 eV per atom. The calculation puts the final energy at -32.6 eV for the cell shown.

The structure belongs to space group Cmmm (No. 65); the cell edges are 4.666, 15.994 and 4.379 Å and the angles 90.00°, 90.00° and 90.00°. The inequivalent atoms are Ba at (0.000, 0.129, 0.000), In at (0.000, 0.500, 0.500) and Au at (0.000, 0.306, 0.500).

=====

Material: Ba4In2Au
Method: DFT, GGA-PBE
State: relaxed

The value obtained for the formation energy is -0.307 eV per atom. The value obtained for the energy above the most stable polymorph in this dataset is 106 meV per atom. The calculation puts the final energy at -37.2 eV for the cell shown.

The structure belongs to space group I4/mmm (No. 139); the cell edges are 6.318, 6.318 and 16.995 Å and the angles 90.00°, 90.00° and 90.00°. The inequivalent atoms are Ba at (0.000, 0.000, 0.195), Ba at (0.000, 0.500, 0.000), In at (0.000, 0.000, 0.398) and Au at (0.000, 0.000, 0.000).

=====

Material: Ba2In6Au3
Method: DFT, GGA-PBE
State: relaxed

The value obtained for the formation energy is -0.453 eV per atom. The calculation puts the final energy at -35.1 eV for the cell shown.

The structure belongs to space group P-62m (No. 189); the cell edges are 8.7374, 8.7374 and 4.6994 Å and the angles 90.00°, 90.00° and 120.00°. The inequivalent atoms are Ba at (0.3333, 0.6667, 0.0000), In at (0.0000, 0.3057, 0.5000), In at (0.0000, 0.8019, 0.0000) and Au at (0.0000, 0.6280, 0.5000).

=====

Material: BaIn2Au
Method: DFT, GGA-PBE
State: relaxed

The value obtained for the formation energy is -0.356 eV per atom. The calculation puts the final energy at -24.2 eV for the cell shown.

The structure belongs to space group Immm (No. 71); the cell edges are 3.869, 5.814 and 10.639 Å and the angles 90.00°, 90.00° and 90.00°. The inequivalent atoms are Ba at (0.000, 0.000, 0.000), In at (0.000, 0.500, 0.208) and Au at (0.000, 0.000, 0.500).

=====

Material: BaInAu2
Method: DFT, GGA-PBE
State: relaxed

The value obtained for the formation energy is -0.436 eV per atom. The calculation puts the final energy at -13.0 eV for the cell shown.

The structure belongs to space group P2/m (No. 10); the cell edges are 3.890, 3.857 and 7.270 Å and the angles 90.00°, 93.69° and 90.00°. The inequivalent atoms are Ba at (0.000, 0.000, 0.000), In at (0.000, 0.000, 0.500) and Au at (0.472, 0.500, 0.706).

=====

Material: BaIn6Au12
Method: DFT, GGA-PBE
State: relaxed

The value obtained for the formation energy is -0.229 eV per atom. The value obtained for the energy above the most stable polymorph in this dataset is 0 meV per atom. The calculation puts the final energy at -186.1 eV for the cell shown.

The structure belongs to space group R-3 (No. 148, hexagonal axes); the cell edges are 13.1541, 13.1541 and 8.3904 Å and the angles 90.00°, 90.00° and 120.00°. The inequivalent atoms are Ba at (0.0000, 0.0000, 0.0000), In at (0.0238, 0.2533, 0.7547), Au at (0.0185, 0.1405, 0.3612) and Au at (0.0324, 0.4703, 0.7667).